Here is an optimized crystal structure of BaNaRh2N from Alexandria. Energies are from PBE.

Summary:
- N(E_F): 1.499 states/eV per atom
- Symmetry: P4/mmm (123)
- M_tot: 3.5 Bohr magnetons per cell
- DFT total energy: -17.03 eV/cell

Cell: 4.650 4.650 6.257 Å, 90.00 90.00 90.00°
Positions (direct):
1 Ba 0.000 0.000 0.000
2 Na 0.000 0.000 0.500
3 Rh 0.000 0.500 0.500
4 Rh 0.500 0.000 0.500
5 N 0.500 0.500 0.000